# Li2BeCrO4

A geometry-optimized Li2BeCrO4 structure (PBE with a Hubbard U, the Alexandria database).

CIF file:
```
data_Li2BeCrO4
_chemical_formula_sum 'Li2 Be1 Cr1 O4'
_cell_length_a 4.604
_cell_length_b 4.604
_cell_length_c 4.604
_cell_angle_alpha 106.88
_cell_angle_beta 106.88
_cell_angle_gamma 114.79
_symmetry_space_group_name_H-M 'P 1'
_symmetry_Int_Tables_number 1
loop_
_symmetry_equiv_pos_as_xyz
'x,y,z'
loop_
_atom_site_label
_atom_site_type_symbol
_atom_site_fract_x
_atom_site_fract_y
_atom_site_fract_z
_atom_site_occupancy
Li1 Li 0.250 0.750 0.500 1
Li2 Li 0.750 0.250 0.500 1
Be1 Be 0.000 0.000 0.000 1
Cr1 Cr 0.500 0.500 0.000 1
O1 O 0.067 0.389 0.000 1
O2 O 0.389 0.067 0.000 1
O3 O 0.611 0.611 0.679 1
O4 O 0.933 0.933 0.321 1
```

* magnetic moment: 2.00 μB/f.u.
* E: -49.3 eV per formula unit